(1)
VASP calculation (PBEsol) on a relaxed SrIrAu2 crystal.

Lattice parameters (Å, degrees): 3.6509 4.6084 5.2606 90.00 90.07 90.00
Space group P2/m (No. 10)
Inequivalent atoms, fractional coordinates:
Sr  0.0000  0.0000  0.0000 (multiplicity 1)
Ir  0.5000  0.0000  0.5000 (multiplicity 1)
Au  0.4995  0.5000  0.7496 (multiplicity 2)

Calculated values
Formation energy, eV per atom: 0.070

=====

(2)
VASP calculation (PBEsol) on a relaxed LiSc2Ag crystal.

Lattice parameters (Å, degrees): 4.6010 3.1434 10.8946 90.00 90.00 90.00
Space group Amm2 (No. 38)
Inequivalent atoms, fractional coordinates:
Li  0.0000  0.0000  0.0000 (multiplicity 2)
Sc  0.0000  0.0000  0.7306 (multiplicity 2)
Sc  0.5000  0.0000  0.4090 (multiplicity 2)
Ag  0.5000  0.0000  0.1378 (multiplicity 2)

Calculated values
Formation energy, eV per atom: -0.022

=====

(3)
VASP calculation (PBEsol) on a relaxed SrReI2N crystal.

Lattice parameters (Å, degrees): 5.6193 5.6193 3.8372 90.00 90.00 90.00
Space group P4/mmm (No. 123)
Inequivalent atoms, fractional coordinates:
Sr  0.0000  0.0000  0.0000 (multiplicity 1)
Re  0.5000  0.5000  0.5000 (multiplicity 1)
I  0.0000  0.5000  0.5000 (multiplicity 2)
N  0.5000  0.5000  0.0000 (multiplicity 1)

Calculated values
Energy relative to the elements, uncorrected, eV/atom: -0.231

=====

(4)
VASP calculation (PBEsol) on a relaxed Li5FeF8 crystal.

Lattice parameters (Å, degrees): 5.6715 8.1660 5.7583 90.00 90.00 90.00
Space group Cmmm (No. 65)
Inequivalent atoms, fractional coordinates:
Li  0.0000  0.0000  0.0000 (multiplicity 2)
Li  0.2500  0.2500  0.2319 (multiplicity 8)
Fe  0.0000  0.0000  0.5000 (multiplicity 2)
F  0.0000  0.2291  0.5000 (multiplicity 4)
F  0.0000  0.2353  0.0000 (multiplicity 4)
F  0.2246  0.0000  0.2678 (multiplicity 8)

Calculated values
Energy relative to the elements, uncorrected, eV/atom: -2.659

=====

(5)
VASP calculation (PBEsol) on a relaxed SrS crystal.

Lattice parameters (Å, degrees): 5.9768 5.9768 5.9768 90.00 90.00 90.00
Space group Fm-3m (No. 225)
Inequivalent atoms, fractional coordinates:
Sr  0.0000  0.0000  0.0000 (multiplicity 4)
S  0.0000  0.0000  0.5000 (multiplicity 4)

Calculated values
Energy relative to the elements, uncorrected, eV/atom: -2.182

=====

(6)
VASP calculation (PBEsol) on a relaxed Ge3PbI crystal.

Lattice parameters (Å, degrees): 5.3727 5.3727 5.3727 90.00 90.00 90.00
Space group Pm-3m (No. 221)
Inequivalent atoms, fractional coordinates:
Ge  0.0000  0.0000  0.5000 (multiplicity 3)
Pb  0.5000  0.5000  0.5000 (multiplicity 1)
I  0.0000  0.0000  0.0000 (multiplicity 1)

Calculated values
Energy relative to the elements, uncorrected, eV/atom: 1.002

=====

(7)
VASP calculation (PBEsol) on a relaxed Ag2AsP crystal.

Lattice parameters (Å, degrees): 2.9499 4.0505 5.6682 90.00 90.45 90.00
Space group P2/m (No. 10)
Inequivalent atoms, fractional coordinates:
Ag  0.0016  0.0000  0.2553 (multiplicity 2)
As  0.5000  0.5000  0.0000 (multiplicity 1)
P  0.5000  0.5000  0.5000 (multiplicity 1)

Calculated values
Formation energy, eV per atom: 0.303

=====

(8)
VASP calculation (PBEsol) on a relaxed Tl2AgMo crystal.

Lattice parameters (Å, degrees): 3.0798 3.0798 28.5668 90.00 90.00 120.00
Space group R-3m (No. 166, hexagonal axes)
Inequivalent atoms, fractional coordinates:
Tl  0.0000  0.0000  0.2490 (multiplicity 6)
Ag  0.0000  0.0000  0.0000 (multiplicity 3)
Mo  0.0000  0.0000  0.5000 (multiplicity 3)

Calculated values
Formation energy, eV per atom: 0.540

=====

(9)
VASP calculation (PBEsol) on a relaxed Cs2Nb3Cl7O5 crystal.

Lattice parameters (Å, degrees): 17.1973 8.9828 11.1569 90.00 109.60 90.00
Space group C2/c (No. 15)
Inequivalent atoms, fractional coordinates:
Cs  0.1999  0.0454  0.3534 (multiplicity 8)
Nb  0.0000  0.4638  0.2500 (multiplicity 4)
Nb  0.0022  0.2126  0.9740 (multiplicity 8)
Cl  0.0000  0.0942  0.7500 (multiplicity 4)
Cl  0.1471  0.2077  0.6157 (multiplicity 8)
Cl  0.1472  0.4360  0.3257 (multiplicity 8)
Cl  0.1503  0.2143  0.0392 (multiplicity 8)
O  0.0000  0.0000  0.0000 (multiplicity 4)
O  0.0005  0.2889  0.1236 (multiplicity 8)
O  0.9999  0.3962  0.6252 (multiplicity 8)

Calculated values
Energy relative to the elements, uncorrected, eV/atom: -2.004

=====

(10)
VASP calculation (PBEsol) on a relaxed PtBr2 crystal.

Lattice parameters (Å, degrees): 8.1172 3.5830 11.3725 90.00 90.00 90.00
Space group Pnma (No. 62)
Inequivalent atoms, fractional coordinates:
Pt  0.1695  0.2500  0.1080 (multiplicity 4)
Br  0.0419  0.7500  0.2196 (multiplicity 4)
Br  0.2044  0.2500  0.4958 (multiplicity 4)

Calculated values
Energy relative to the elements, uncorrected, eV/atom: -0.114

=====

(11)
VASP calculation (PBEsol) on a relaxed ReTeP crystal.

Lattice parameters (Å, degrees): 6.1065 6.1065 6.1065 90.00 90.00 90.00
Space group F-43m (No. 216)
Inequivalent atoms, fractional coordinates:
Re  0.0000  0.0000  0.0000 (multiplicity 4)
Te  0.2500  0.2500  0.7500 (multiplicity 4)
P  0.2500  0.2500  0.2500 (multiplicity 4)

Calculated values
Energy relative to the elements, uncorrected, eV/atom: 0.345

=====

(12)
VASP calculation (PBEsol) on a relaxed CrNiP2 crystal.

Lattice parameters (Å, degrees): 2.6232 2.6232 27.3107 90.00 90.00 120.00
Space group R3m (No. 160, hexagonal axes)
Inequivalent atoms, fractional coordinates:
Cr  0.0000  0.0000  0.0000 (multiplicity 3)
Ni  0.0000  0.0000  0.2583 (multiplicity 3)
P  0.0000  0.0000  0.5283 (multiplicity 3)
P  0.0000  0.0000  0.7324 (multiplicity 3)

Calculated values
Formation energy, eV per atom: 0.092

=====

(13)
VASP calculation (PBEsol) on a relaxed AlCu3Pt crystal.

Lattice parameters (Å, degrees): 4.6066 4.6066 4.6066 90.00 90.00 90.00
Space group Pm-3m (No. 221)
Inequivalent atoms, fractional coordinates:
Al  0.0000  0.0000  0.0000 (multiplicity 1)
Cu  0.0000  0.5000  0.5000 (multiplicity 3)
Pt  0.5000  0.5000  0.5000 (multiplicity 1)

Calculated values
Formation energy, eV per atom: 0.916

=====

(14)
VASP calculation (PBEsol) on a relaxed SrCa2 crystal.

Lattice parameters (Å, degrees): 14.6936 3.9737 9.4926 90.00 106.36 90.00
Space group C2/m (No. 12)
Inequivalent atoms, fractional coordinates:
Sr  0.1893  0.0000  0.1402 (multiplicity 4)
Ca  0.0291  0.5000  0.7941 (multiplicity 4)
Ca  0.1378  0.0000  0.5260 (multiplicity 4)

Calculated values
Formation energy, eV per atom: 0.018

=====

(15)
VASP calculation (PBEsol) on a relaxed BiSbNF2 crystal.

Lattice parameters (Å, degrees): 4.4583 4.4583 4.5233 90.00 90.00 90.00
Space group P4/mmm (No. 123)
Inequivalent atoms, fractional coordinates:
Bi  0.0000  0.0000  0.0000 (multiplicity 1)
Sb  0.5000  0.5000  0.5000 (multiplicity 1)
N  0.0000  0.0000  0.5000 (multiplicity 1)
F  0.0000  0.5000  0.0000 (multiplicity 2)

Calculated values
Energy relative to the elements, uncorrected, eV/atom: -0.343

=====

(16)
VASP calculation (PBEsol) on a relaxed MgMn3N crystal.

Lattice parameters (Å, degrees): 4.6022 4.6022 4.6022 90.00 90.00 90.00
Space group Pm-3m (No. 221)
Inequivalent atoms, fractional coordinates:
Mg  0.0000  0.0000  0.0000 (multiplicity 1)
Mn  0.0000  0.0000  0.5000 (multiplicity 3)
N  0.5000  0.5000  0.5000 (multiplicity 1)

Calculated values
Energy relative to the elements, uncorrected, eV/atom: 2.554

=====

(17)
VASP calculation (PBEsol) on a relaxed CrCdSb crystal.

Lattice parameters (Å, degrees): 6.4041 6.4041 6.4041 90.00 90.00 90.00
Space group F-43m (No. 216)
Inequivalent atoms, fractional coordinates:
Cr  0.0000  0.0000  0.0000 (multiplicity 4)
Cd  0.2500  0.2500  0.7500 (multiplicity 4)
Sb  0.2500  0.2500  0.2500 (multiplicity 4)

Calculated values
Energy relative to the elements, uncorrected, eV/atom: 0.268

=====

(18)
VASP calculation (PBEsol) on a relaxed HgGeSb2Te crystal.

Lattice parameters (Å, degrees): 5.3019 5.3019 5.3826 90.00 90.00 90.00
Space group P4/mmm (No. 123)
Inequivalent atoms, fractional coordinates:
Hg  0.0000  0.0000  0.0000 (multiplicity 1)
Ge  0.5000  0.5000  0.5000 (multiplicity 1)
Sb  0.0000  0.5000  0.5000 (multiplicity 2)
Te  0.5000  0.5000  0.0000 (multiplicity 1)

Calculated values
Energy relative to the elements, uncorrected, eV/atom: 0.565

=====

(19)
VASP calculation (PBEsol) on a relaxed Cs3GeTe3 crystal.

Lattice parameters (Å, degrees): 16.9746 14.2849 10.0585 90.00 97.49 90.00
Space group C2/c (No. 15)
Inequivalent atoms, fractional coordinates:
Cs  0.0000  0.0848  0.2500 (multiplicity 4)
Cs  0.0000  0.3972  0.2500 (multiplicity 4)
Cs  0.0906  0.3087  0.6278 (multiplicity 8)
Cs  0.2167  0.0259  0.6888 (multiplicity 8)
Ge  0.1817  0.2576  0.0407 (multiplicity 8)
Te  0.0843  0.1347  0.9226 (multiplicity 8)
Te  0.1235  0.4236  0.9770 (multiplicity 8)
Te  0.1900  0.2340  0.3000 (multiplicity 8)

Calculated values
Energy relative to the elements, uncorrected, eV/atom: -0.817

=====

(20)
VASP calculation (PBEsol) on a relaxed BaSbPd2F crystal.

Lattice parameters (Å, degrees): 5.2381 5.2381 6.5230 90.00 90.00 90.00
Space group P4/mmm (No. 123)
Inequivalent atoms, fractional coordinates:
Ba  0.0000  0.0000  0.0000 (multiplicity 1)
Sb  0.0000  0.0000  0.5000 (multiplicity 1)
Pd  0.0000  0.5000  0.0000 (multiplicity 2)
F  0.5000  0.5000  0.5000 (multiplicity 1)

Calculated values
Energy relative to the elements, uncorrected, eV/atom: 1.032

=====

Total magnetization readings, ordered: 0.00, 0.00, 0.00, 2.00, 0.00, 0.00, 0.00, 0.00, 0.00, 0.00, 0.00, 1.75, 0.00, 0.00, 0.00, 11.34, 14.30, 0.00, 0.00, 0.34 μB/cell
E_tot readings, ordered: -4.808, -4.644, -5.678, -5.103, -5.294, -3.114, -4.077, -4.545, -6.395, -3.682, -7.205, -6.903, -3.895, -2.018, -4.588, -5.352, -5.064, -3.064, -3.437, -3.078 eV per atom